Entry 1:
A geometry-optimized NiW2C structure. Source: the Open Quantum Materials Database, functional PBE-GGA.

Computed properties:
- total magnetization (μB/cell) = 0.88
- energy (eV per formula unit) = -39.94

a b c (Å): 5.164 5.164 13.242
angles (deg): 101.66 101.66 59.39
Last column: magnetic moment on the atom in μB.
Atoms (fractional coordinates):
W 0.860 0.695 0.088  0.01
W 0.204 0.022 0.087  0.01
W 0.544 0.385 0.130  0.02
W 0.796 0.978 0.913  0.01
W 0.385 0.544 0.630  0.02
W 0.978 0.796 0.413  0.01
W 0.695 0.860 0.588  0.01
W 0.305 0.140 0.412  0.01
W 0.615 0.456 0.370  0.02
W 0.140 0.305 0.912  0.01
W 0.456 0.615 0.870  0.02
W 0.022 0.204 0.587  0.01
C 0.352 0.799 0.500  0.00
C 0.648 0.201 0.500  0.00
C 0.799 0.352 0.000  0.00
C 0.201 0.648 0.000  0.00
C 0.000 0.500 0.500  0.00
C 0.500 0.000 0.000  0.00
Ni 0.100 0.409 0.249  0.14
Ni 0.409 0.100 0.749  0.11
Ni 0.913 0.087 0.750  0.10
Ni 0.900 0.591 0.751  0.14
Ni 0.591 0.900 0.251  0.11
Ni 0.087 0.913 0.250  0.10

---

Entry 2:
A geometry-optimized GdHoIn3Si2 structure. Source: the Open Quantum Materials Database, functional PBE-GGA.

Computed properties:
- total magnetization (μB/cell) = 0.00
- energy (eV per formula unit) = -31.33

a b c (Å): 5.748 5.748 6.995
angles (deg): 99.28 99.28 43.76
Atoms (fractional coordinates):
In 0.001 0.001 0.501
In 0.695 0.695 0.351
In 0.305 0.305 0.651
Si 0.093 0.093 0.116
Si 0.907 0.907 0.881
Ho 0.621 0.621 0.832
Gd 0.379 0.379 0.169

---

Entry 3:
A geometry-optimized GdSnPb structure. Source: the Open Quantum Materials Database, functional PBE-GGA.

Computed properties:
- E above lowest polymorph (meV per atom) = 0
- total magnetization (μB/cell) = 0.00

a b c (Å): 5.201 5.201 5.201
angles (deg): 60.00 60.00 60.00
Atoms (fractional coordinates):
Gd 0.000 0.000 0.000
Sn 0.750 0.750 0.750
Pb 0.250 0.250 0.250

---

Entry 4:
A geometry-optimized TaPAuO structure. Source: the Open Quantum Materials Database, functional PBE-GGA.

Computed properties:
- E above lowest polymorph (meV per atom) = 236
- total magnetization (μB/cell) = 0.00

a b c (Å): 3.601 3.601 8.845
angles (deg): 90.00 90.00 90.00
Atoms (fractional coordinates):
P 0.500 0.000 0.261
P 0.000 0.500 0.739
Au 0.000 0.000 0.500
Au 0.500 0.500 0.500
O 0.000 0.000 0.000
O 0.500 0.500 0.000
Ta 0.000 0.500 0.146
Ta 0.500 0.000 0.854

---

- Among the records above, which one has the highest total magnetization?
  NiW2C